Record 1
CaMgCu: PBEsol geometry, meta-GGA SCAN.

Cell lengths 3.4022, 3.4022, 6.0794 Å; angles 106.25, 106.25, 90.00 degrees
Sites, in units of the cell vectors:
1 Ca 0.9821 0.9821 0.9643
2 Mg 0.7017 0.7017 0.4033
3 Cu 0.3162 0.3162 0.6324

The space group is I4mm (107).


Record 2
Ca2Mg3Cu: PBEsol geometry, meta-GGA SCAN.

Cell lengths 5.8420, 5.8420, 5.8420 Å; angles 61.53, 61.53, 61.53 degrees
Sites, in units of the cell vectors:
1 Mg 0.5000 0.5000 0.0000
2 Mg 0.0000 0.5000 0.5000
3 Mg 0.5000 0.0000 0.5000
4 Ca 0.1266 0.1266 0.1266
5 Ca 0.8734 0.8734 0.8734
6 Cu 0.5000 0.5000 0.5000

The space group is R-3m (166).


Record 3
CaMg2Cu: PBEsol geometry, meta-GGA SCAN.

Cell lengths 4.9407, 4.9407, 4.9407 Å; angles 60.00, 60.00, 60.00 degrees
Sites, in units of the cell vectors:
1 Ca 0.5000 0.5000 0.5000
2 Mg 0.0000 0.0000 0.0000
3 Mg 0.7500 0.7500 0.7500
4 Cu 0.2500 0.2500 0.2500

The space group is F-43m (216).


Record 4
Ca2Mg3Cu: PBEsol geometry, meta-GGA SCAN.

Cell lengths 6.0107, 6.0107, 9.2730 Å; angles 90.00, 90.00, 120.00 degrees
Sites, in units of the cell vectors:
1 Cu 0.0000 0.0000 0.5000
2 Cu 0.0000 0.0000 0.0000
3 Ca 0.6667 0.3333 0.0573
4 Ca 0.3333 0.6667 0.9427
5 Ca 0.6667 0.3333 0.4427
6 Ca 0.3333 0.6667 0.5573
7 Mg 0.3233 0.1617 0.7500
8 Mg 0.8383 0.6767 0.7500
9 Mg 0.1617 0.3233 0.2500
10 Mg 0.6767 0.8383 0.2500
11 Mg 0.1617 0.8383 0.2500
12 Mg 0.8383 0.1617 0.7500

The space group is P6_3/mmc (194).


Record 5
Ca3Mg2Cu7: PBEsol geometry, meta-GGA SCAN.

Cell lengths 5.3143, 5.3143, 8.8847 Å; angles 72.60, 72.60, 60.00 degrees
Sites, in units of the cell vectors:
1 Mg 0.6679 0.6679 0.9964
2 Mg 0.3321 0.3321 0.0036
3 Cu 0.5845 0.0894 0.7416
4 Cu 0.4155 0.4155 0.2584
5 Cu 0.5000 0.5000 0.5000
6 Cu 0.5845 0.5845 0.7416
7 Cu 0.0894 0.5845 0.7416
8 Cu 0.4155 0.9106 0.2584
9 Cu 0.9106 0.4155 0.2584
10 Ca 0.8594 0.8594 0.4217
11 Ca 0.0000 0.0000 0.0000
12 Ca 0.1406 0.1406 0.5783

The space group is R-3m (166).


Record 6
Ca2Mg3Cu4: PBEsol geometry, meta-GGA SCAN.

Cell lengths 4.2016, 5.4666, 7.8759 Å; angles 98.51, 105.47, 90.00 degrees
Sites, in units of the cell vectors:
1 Cu 0.7301 0.0959 0.4603
2 Cu 0.2699 0.9041 0.5397
3 Cu 0.4967 0.7827 0.9934
4 Cu 0.5033 0.2173 0.0066
5 Ca 0.6661 0.5841 0.3322
6 Ca 0.3339 0.4159 0.6678
7 Mg 0.8946 0.9500 0.7892
8 Mg 0.0000 0.5000 0.0000
9 Mg 0.1054 0.0500 0.2108

The space group is C2/m (12).


Record 7
CaMg2Cu2: PBEsol geometry, meta-GGA SCAN.

Cell lengths 4.2051, 5.3297, 9.1467 Å; angles 90.00, 103.29, 90.00 degrees
Sites, in units of the cell vectors:
1 Mg 0.7186 0.4185 0.4371
2 Mg 0.5608 0.6578 0.1216
3 Mg 0.2814 0.9185 0.5629
4 Mg 0.4392 0.1578 0.8784
5 Cu 0.6914 0.9098 0.3828
6 Cu 0.1596 0.6594 0.3191
7 Cu 0.3086 0.4098 0.6172
8 Cu 0.8404 0.1594 0.6809
9 Ca 0.9100 0.6501 0.8201
10 Ca 0.0900 0.1501 0.1799

The space group is Cmc2_1 (36).


Record 8
CaMgCu: PBEsol geometry, meta-GGA SCAN.

Cell lengths 5.5676, 6.4997, 7.2247 Å; angles 90.00, 90.00, 90.00 degrees
Sites, in units of the cell vectors:
1 Ca 0.2500 0.4034 0.4087
2 Ca 0.7500 0.5966 0.5913
3 Ca 0.7500 0.4034 0.0913
4 Ca 0.2500 0.5966 0.9087
5 Cu 0.0000 0.7841 0.2500
6 Cu 0.0000 0.2159 0.7500
7 Cu 0.5000 0.2159 0.7500
8 Cu 0.5000 0.7841 0.2500
9 Mg 0.7500 0.9220 0.9456
10 Mg 0.2500 0.0780 0.0544
11 Mg 0.2500 0.9220 0.5544
12 Mg 0.7500 0.0780 0.4456

The space group is Pbcm (57).


Record 9
Ca2MgCu2: PBEsol geometry, meta-GGA SCAN.

Cell lengths 5.6049, 5.6049, 7.5882 Å; angles 90.00, 90.00, 102.92 degrees
Sites, in units of the cell vectors:
1 Ca 0.2022 0.7978 0.5000
2 Ca 0.7978 0.2022 0.0000
3 Ca 0.2022 0.7978 0.0000
4 Ca 0.7978 0.2022 0.5000
5 Mg 0.6789 0.6789 0.2500
6 Mg 0.3211 0.3211 0.7500
7 Cu 0.3360 0.3360 0.0938
8 Cu 0.6640 0.6640 0.9062
9 Cu 0.3360 0.3360 0.4062
10 Cu 0.6640 0.6640 0.5938

The space group is Cmcm (63).


Record 10
Ca2MgCu: PBEsol geometry, meta-GGA SCAN.

Cell lengths 4.3126, 4.3652, 6.1461 Å; angles 90.00, 110.54, 90.00 degrees
Sites, in units of the cell vectors:
1 Mg 0.6921 0.5000 0.3842
2 Cu 0.8215 0.0000 0.6429
3 Ca 0.0992 0.0000 0.1985
4 Ca 0.3968 0.5000 0.7937

The space group is Amm2 (38).


Record 11
Ca2MgCu: PBEsol geometry, meta-GGA SCAN.

Cell lengths 3.6252, 6.5232, 9.1142 Å; angles 90.00, 90.00, 106.13 degrees
Sites, in units of the cell vectors:
1 Cu 0.7695 0.5391 0.2500
2 Cu 0.2305 0.4609 0.7500
3 Ca 0.1346 0.2691 0.0629
4 Ca 0.1346 0.2691 0.4371
5 Ca 0.8654 0.7309 0.9371
6 Ca 0.8654 0.7309 0.5629
7 Mg 0.5720 0.1440 0.7500
8 Mg 0.4280 0.8560 0.2500

The space group is Cmcm (63).


Record 12
Ca2MgCu2: PBEsol geometry, meta-GGA SCAN.

Cell lengths 4.3536, 4.3536, 7.6046 Å; angles 90.00, 90.00, 120.00 degrees
Sites, in units of the cell vectors:
1 Ca 0.3333 0.6667 0.6972
2 Ca 0.6667 0.3333 0.3028
3 Cu 0.3333 0.6667 0.0697
4 Cu 0.6667 0.3333 0.9303
5 Mg 0.0000 0.0000 0.0000

The space group is P-3m1 (164).


| no. | DFT total energy (Ry per atom) | formation energy from the elements (eV per atom) |
| --- | --- | --- |
| 1 | -0.735 | -0.0520 |
| 2 | -0.611 | -0.0668 |
| 3 | -0.637 | 0.0328 |
| 4 | -0.612 | -0.0842 |
| 5 | -0.897 | -0.0933 |
| 6 | -0.784 | -0.1108 |
| 7 | -0.743 | -0.1127 |
| 8 | -0.736 | -0.0625 |
| 9 | -0.807 | -0.0424 |
| 10 | -0.727 | -0.0198 |
| 11 | -0.730 | -0.0571 |
| 12 | -0.811 | -0.0899 |